#w
VASP calculation (PBE) on a relaxed Nd5Tl2Pd crystal.

a = 4.977 Å, b = 7.596 Å, c = 12.881 Å
α = 90.00°, β = 90.00°, γ = 90.00°
Positions (direct):
Nd (0.500, 0.320, 0.581)
Nd (0.000, 0.500, 0.000)
Nd (0.000, 0.000, 0.500)
Nd (0.500, 0.820, 0.919)
Nd (0.000, 0.629, 0.713)
Nd (0.500, 0.680, 0.419)
Nd (0.000, 0.371, 0.287)
Nd (0.000, 0.871, 0.213)
Nd (0.000, 0.129, 0.787)
Nd (0.500, 0.180, 0.081)
Tl (0.500, 0.597, 0.163)
Tl (0.500, 0.903, 0.663)
Tl (0.500, 0.097, 0.337)
Tl (0.500, 0.403, 0.837)
Pd (0.000, 0.000, 0.000)
Pd (0.000, 0.500, 0.500)

Results
N(E_F) in states/eV/f.u.: 8.62
Magnetic moment in μB per formula unit: 0.0
Space-group type: Pbam (55)

#x
VASP calculation (PBE) on a relaxed Nd5Tl2Pd crystal.

a = 7.195 Å, b = 7.195 Å, c = 6.804 Å
α = 121.92°, β = 121.93°, γ = 89.99°
Positions (direct):
Nd (0.231, 0.231, 0.958)
Nd (0.743, 0.743, 0.485)
Nd (0.232, 0.727, 0.959)
Nd (0.727, 0.232, 0.959)
Nd (0.727, 0.727, 0.958)
Tl (0.229, 0.729, 0.458)
Tl (0.729, 0.229, 0.458)
Pd (0.159, 0.159, 0.319)

Results
N(E_F) in states/eV/f.u.: 8.45
Magnetic moment in μB per formula unit: 0.0
Space-group type: I4mm (107)

The most stable of them is #w.